Compound: BaNi2
Source: Alexandria via LeMat-Bulk
Functional: PBE-GGA
Structure: relaxed

a b c (Å): 6.3163 6.3163 5.9473
angles (deg): 90.00 90.00 141.16
Element x y z (fractional)
Ba  0.1150  0.8850  0.7500
Ba  0.8850  0.1150  0.2500
Ni  0.1722  0.8278  0.2500
Ni  0.3906  0.6094  0.7500
Ni  0.6094  0.3906  0.2500
Ni  0.8278  0.1722  0.7500

ΔE_f: 8.4 kcal/mol of atoms
DOS at the Fermi energy: 6.3 states/eV/cell

***

Compound: CeTa4S8
Source: Alexandria via LeMat-Bulk
Functional: PBE-GGA
Structure: relaxed

a b c (Å): 6.8234 6.8234 8.7512
angles (deg): 122.46 122.46 60.87
Element x y z (fractional)
Ce  0.0000  0.0000  0.0000
Ta  0.2766  0.2766  0.5074
Ta  0.2958  0.7042  0.5000
Ta  0.7042  0.2958  0.5000
Ta  0.7234  0.7234  0.4926
S  0.0001  0.0001  0.3186
S  0.9999  0.9999  0.6814
S  0.0249  0.5170  0.7256
S  0.4592  0.4592  0.2381
S  0.4830  0.9751  0.2744
S  0.5170  0.0249  0.7256
S  0.5408  0.5408  0.7619
S  0.9751  0.4830  0.2744

uncorrected formation energy: -15.8 eV/f.u.
excess energy over the best structure of this formula in the dataset: 0.000 eV/atom
DOS at the Fermi energy: 9.7 states/eV/cell

***

Compound: Ba3Ru2PbO9
Source: Alexandria via LeMat-Bulk
Functional: PBE-GGA
Structure: relaxed

a b c (Å): 5.9509 5.9509 7.3676
angles (deg): 90.00 90.00 120.00
Element x y z (fractional)
Ba  0.0000  0.0000  0.0000
Ba  0.3333  0.6667  0.6614
Ba  0.6667  0.3333  0.3386
Ru  0.3333  0.6667  0.1429
Ru  0.6667  0.3333  0.8571
Pb  0.0000  0.0000  0.5000
O  0.0000  0.5000  0.0000
O  0.1829  0.3658  0.3044
O  0.1829  0.8171  0.3044
O  0.3658  0.1829  0.6956
O  0.5000  0.0000  0.0000
O  0.5000  0.5000  0.0000
O  0.6342  0.8171  0.3044
O  0.8171  0.1829  0.6956
O  0.8171  0.6342  0.6956

uncorrected formation energy: -25.5 eV/f.u.
DOS at the Fermi energy: 7.3 states/eV/cell

***

Compound: Pm2Pr4Ho
Source: Alexandria via LeMat-Bulk
Functional: PBE-GGA
Structure: relaxed

a b c (Å): 7.3028 7.3028 6.0738
angles (deg): 90.00 90.00 129.55
Element x y z (fractional)
Pm  0.1097  0.8903  0.0000
Pm  0.8903  0.1097  0.0000
Pr  0.1907  0.8093  0.5000
Pr  0.3634  0.6366  0.0000
Pr  0.6366  0.3634  0.0000
Pr  0.8093  0.1907  0.5000
Ho  0.5000  0.5000  0.5000

excess energy over the best structure of this formula in the dataset: 0.376 eV/atom
ΔE_f: 9.7 kcal/mol of atoms
DOS at the Fermi energy: 11.1 states/eV/cell

***

Compound: SmTh6Se12
Source: Alexandria via LeMat-Bulk
Functional: PBE-GGA
Structure: relaxed

a b c (Å): 8.4644 8.4644 8.4644
angles (deg): 100.55 100.55 100.55
Element x y z (fractional)
Sm  0.0000  0.0000  0.0000
Th  0.1393  0.3096  0.6313
Th  0.3096  0.6313  0.1393
Th  0.3687  0.8607  0.6904
Th  0.6313  0.1393  0.3096
Th  0.6904  0.3687  0.8607
Th  0.8607  0.6904  0.3687
Se  0.0460  0.9366  0.6697
Se  0.0634  0.3303  0.9540
Se  0.1732  0.5619  0.4216
Se  0.3303  0.9540  0.0634
Se  0.4216  0.1732  0.5619
Se  0.4381  0.5784  0.8268
Se  0.5619  0.4216  0.1732
Se  0.5784  0.8268  0.4381
Se  0.6697  0.0460  0.9366
Se  0.8268  0.4381  0.5784
Se  0.9366  0.6697  0.0460
Se  0.9540  0.0634  0.3303

uncorrected formation energy: -31.4 eV/f.u.
DOS at the Fermi energy: 12.5 states/eV/cell

***

Compound: Ac2TbGa2Pt7
Source: Alexandria via LeMat-Bulk
Functional: PBE-GGA
Structure: relaxed

a b c (Å): 4.2135 4.2135 14.2405
angles (deg): 95.18 95.18 89.60
Element x y z (fractional)
Ac  0.0947  0.0947  0.3536
Ac  0.9053  0.9053  0.6464
Tb  0.0000  0.0000  0.0000
Ga  0.4270  0.4270  0.7558
Ga  0.5730  0.5730  0.2442
Pt  0.0440  0.5441  0.1470
Pt  0.3986  0.3986  0.5787
Pt  0.4559  0.9560  0.8530
Pt  0.5000  0.5000  0.0000
Pt  0.5441  0.0440  0.1470
Pt  0.6014  0.6014  0.4213
Pt  0.9560  0.4559  0.8530

ΔE_f: -23.4 kcal/mol of atoms
DOS at the Fermi energy: 2.7 states/eV/cell

***

Compound: Ga4Pt
Source: Alexandria via LeMat-Bulk
Functional: PBE-GGA
Structure: relaxed

a b c (Å): 9.0155 9.0155 8.9855
angles (deg): 119.21 119.21 87.37
Element x y z (fractional)
Ga  0.0000  0.5000  0.5000
Ga  0.0174  0.4595  0.1394
Ga  0.0755  0.8694  0.3879
Ga  0.1306  0.9245  0.1121
Ga  0.1439  0.8561  0.7500
Ga  0.2221  0.3274  0.6381
Ga  0.3027  0.6514  0.5491
Ga  0.3274  0.2221  0.1381
Ga  0.3486  0.6973  0.9509
Ga  0.3688  0.4581  0.0502
Ga  0.4581  0.3688  0.5502
Ga  0.4595  0.0174  0.6394
Ga  0.5000  0.0000  0.0000
Ga  0.5405  0.9826  0.3606
Ga  0.5419  0.6312  0.4498
Ga  0.6312  0.5419  0.9498
Ga  0.6514  0.3027  0.0491
Ga  0.6726  0.7779  0.8619
Ga  0.6973  0.3486  0.4509
Ga  0.7779  0.6726  0.3619
Ga  0.8561  0.1439  0.2500
Ga  0.8694  0.0755  0.8879
Ga  0.9245  0.1306  0.6121
Ga  0.9826  0.5405  0.8606
Pt  0.1287  0.2459  0.2701
Pt  0.2459  0.1287  0.7701
Pt  0.2717  0.7283  0.2500
Pt  0.7283  0.2717  0.7500
Pt  0.7541  0.8713  0.2299
Pt  0.8713  0.7541  0.7299

excess energy over the best structure of this formula in the dataset: 0.000 eV/atom
ΔE_f: -6.5 kcal/mol of atoms
DOS at the Fermi energy: 8.7 states/eV/cell

***

Compound: CaMg2CuAu
Source: Alexandria via LeMat-Bulk
Functional: PBE-GGA
Structure: relaxed

a b c (Å): 4.8507 4.8507 5.3435
angles (deg): 90.00 90.00 90.00
Element x y z (fractional)
Ca  0.0000  0.0000  0.0000
Mg  0.0000  0.5000  0.5000
Mg  0.5000  0.0000  0.5000
Cu  0.0000  0.0000  0.5000
Au  0.5000  0.5000  0.0000

ΔE_f: -0.3 kcal/mol of atoms
DOS at the Fermi energy: 2.2 states/eV/cell

***

Compound: NaPaAg2Br8
Source: Alexandria via LeMat-Bulk
Functional: PBE-GGA
Structure: relaxed

a b c (Å): 7.0132 7.4770 9.0171
angles (deg): 71.35 88.70 76.65
Element x y z (fractional)
Na  0.0000  0.0000  0.0000
Pa  0.0000  0.0000  0.5000
Ag  0.4663  0.3642  0.1626
Ag  0.5337  0.6358  0.8374
Br  0.1046  0.2384  0.2230
Br  0.1199  0.2064  0.6620
Br  0.3659  0.7590  0.5398
Br  0.3901  0.7560  0.0737
Br  0.6099  0.2440  0.9263
Br  0.6341  0.2410  0.4602
Br  0.8801  0.7936  0.3380
Br  0.8954  0.7616  0.7770

uncorrected formation energy: -12.8 eV/f.u.

***

Compound: Ta2InW
Source: Alexandria via LeMat-Bulk
Functional: PBE-GGA
Structure: relaxed

a b c (Å): 5.4843 5.4843 2.8431
angles (deg): 99.09 99.09 116.67
Element x y z (fractional)
Ta  0.0000  0.5000  0.0000
Ta  0.5000  0.0000  0.0000
In  0.0000  0.0000  0.5000
W  0.5000  0.5000  0.5000

ΔE_f: 5.1 kcal/mol of atoms
DOS at the Fermi energy: 2.7 states/eV/cell

***

Compound: BeRePb2
Source: Alexandria via LeMat-Bulk
Functional: PBE-GGA
Structure: relaxed

a b c (Å): 3.5746 3.5416 6.2382
angles (deg): 90.00 98.93 90.00
Element x y z (fractional)
Be  0.0000  0.0000  0.0000
Re  0.0000  0.0000  0.5000
Pb  0.4463  0.5000  0.2464
Pb  0.5537  0.5000  0.7536

ΔE_f: 23.4 kcal/mol of atoms
DOS at the Fermi energy: 2.2 states/eV/cell

***

Compound: Er2Tl2S
Source: Alexandria via LeMat-Bulk
Functional: PBE-GGA
Structure: relaxed

a b c (Å): 3.7033 3.7033 11.3082
angles (deg): 99.48 99.48 60.02
Element x y z (fractional)
Er  0.2155  0.2155  0.1453
Er  0.7845  0.7845  0.8547
Tl  0.0439  0.0439  0.6326
Tl  0.9561  0.9561  0.3674
S  0.5000  0.5000  0.0000

uncorrected formation energy: -4.2 eV/f.u.
DOS at the Fermi energy: 2.4 states/eV/cell

***

Compound: RbCd2SbRu
Source: Alexandria via LeMat-Bulk
Functional: PBE-GGA
Structure: relaxed

a b c (Å): 5.4037 5.4037 5.0083
angles (deg): 90.00 90.00 90.00
Element x y z (fractional)
Rb  0.0000  0.0000  0.0000
Cd  0.0000  0.5000  0.5000
Cd  0.5000  0.0000  0.5000
Sb  0.5000  0.5000  0.0000
Ru  0.5000  0.5000  0.5000

uncorrected formation energy: -0.2 eV/f.u.
DOS at the Fermi energy: 2.2 states/eV/cell

***

Compound: RbBaN2
Source: Alexandria via LeMat-Bulk
Functional: PBE-GGA
Structure: relaxed

a b c (Å): 8.1262 8.1262 8.1262
angles (deg): 33.05 33.05 33.05
Element x y z (fractional)
Rb  0.0000  0.0000  0.0000
Ba  0.5000  0.5000  0.5000
N  0.4079  0.4079  0.4079
N  0.5921  0.5921  0.5921

uncorrected formation energy: 5.0 eV/f.u.
excess energy over the best structure of this formula in the dataset: 0.439 eV/atom
DOS at the Fermi energy: 2.1 states/eV/cell

***

Compound: TaBO2F
Source: Alexandria via LeMat-Bulk
Functional: PBE-GGA
Structure: relaxed

a b c (Å): 3.8543 3.8543 3.0512
angles (deg): 90.00 90.00 90.00
Element x y z (fractional)
Ta  0.0000  0.0000  0.0000
B  0.5000  0.5000  0.5000
O  0.0000  0.5000  0.5000
O  0.5000  0.0000  0.5000
F  0.5000  0.5000  0.0000

uncorrected formation energy: -1.9 eV/f.u.
DOS at the Fermi energy: 2.2 states/eV/cell

***

Compound: Ca2MnRh
Source: Alexandria via LeMat-Bulk
Functional: PBE-GGA
Structure: relaxed

a b c (Å): 6.5181 6.5181 6.5181
angles (deg): 101.50 101.50 126.96
Element x y z (fractional)
Ca  0.0658  0.6250  0.9408
Ca  0.3750  0.3158  0.4408
Ca  0.6842  0.1250  0.0592
Ca  0.8750  0.9342  0.5592
Mn  0.2500  0.7500  0.5000
Mn  0.5000  0.5000  0.0000
Rh  0.0000  0.0000  0.0000
Rh  0.7500  0.2500  0.5000

ΔE_f: 7.3 kcal/mol of atoms
DOS at the Fermi energy: 5.0 states/eV/cell

***

Compound: LiHfAs2Br
Source: Alexandria via LeMat-Bulk
Functional: PBE-GGA
Structure: relaxed

a b c (Å): 4.5855 4.5855 4.7632
angles (deg): 90.00 90.00 90.00
Element x y z (fractional)
Li  0.0000  0.0000  0.0000
Hf  0.5000  0.5000  0.5000
As  0.0000  0.5000  0.0000
As  0.5000  0.0000  0.0000
Br  0.0000  0.0000  0.5000

uncorrected formation energy: 1.3 eV/f.u.
excess energy over the best structure of this formula in the dataset: 0.588 eV/atom
DOS at the Fermi energy: 2.6 states/eV/cell

***

Compound: CrMo2Os
Source: Alexandria via LeMat-Bulk
Functional: PBE-GGA
Structure: relaxed

a b c (Å): 9.2151 9.2151 9.2151
angles (deg): 17.11 17.11 17.11
Element x y z (fractional)
Cr  0.0000  0.0000  0.0000
Mo  0.2507  0.2507  0.2507
Mo  0.7493  0.7493  0.7493
Os  0.5000  0.5000  0.5000

excess energy over the best structure of this formula in the dataset: 0.207 eV/atom
ΔE_f: 7.5 kcal/mol of atoms
DOS at the Fermi energy: 4.6 states/eV/cell

***

Compound: YZr2Os
Source: Alexandria via LeMat-Bulk
Functional: PBE-GGA
Structure: relaxed

a b c (Å): 5.7992 5.7992 5.7992
angles (deg): 138.55 138.55 60.06
Element x y z (fractional)
Y  0.0000  0.0000  0.0000
Zr  0.2500  0.7500  0.5000
Zr  0.5000  0.5000  0.0000
Os  0.7500  0.2500  0.5000

excess energy over the best structure of this formula in the dataset: 0.381 eV/atom
ΔE_f: 3.7 kcal/mol of atoms
DOS at the Fermi energy: 6.1 states/eV/cell

***

Compound: NaBeP2O
Source: Alexandria via LeMat-Bulk
Functional: PBE-GGA
Structure: relaxed

a b c (Å): 4.8624 4.8624 3.9362
angles (deg): 90.00 90.00 90.00
Element x y z (fractional)
Na  0.0000  0.0000  0.0000
Be  0.5000  0.5000  0.5000
P  0.0000  0.5000  0.0000
P  0.5000  0.0000  0.0000
O  0.0000  0.0000  0.5000

uncorrected formation energy: 7.3 eV/f.u.
excess energy over the best structure of this formula in the dataset: 1.682 eV/atom
DOS at the Fermi energy: 3.3 states/eV/cell

***

Compound: CsNiMo2
Source: Alexandria via LeMat-Bulk
Functional: PBE-GGA
Structure: relaxed

a b c (Å): 4.5930 4.5930 4.5930
angles (deg): 60.00 60.00 60.00
Element x y z (fractional)
Cs  0.0000  0.0000  0.0000
Ni  0.5000  0.5000  0.5000
Mo  0.2500  0.2500  0.2500
Mo  0.7500  0.7500  0.7500

excess energy over the best structure of this formula in the dataset: 0.090 eV/atom
ΔE_f: 41.9 kcal/mol of atoms
DOS at the Fermi energy: 6.9 states/eV/cell

***

Compound: SrCeY2S4
Source: Alexandria via LeMat-Bulk
Functional: PBE-GGA
Structure: relaxed

a b c (Å): 6.9883 3.9978 6.9883
angles (deg): 90.00 109.12 90.00
Element x y z (fractional)
Sr  0.0000  0.0000  0.0000
Ce  0.0000  0.5000  0.5000
Y  0.5000  0.0000  0.5000
Y  0.5000  0.5000  0.0000
S  0.2633  0.0000  0.7518
S  0.2663  0.5000  0.2591
S  0.7337  0.5000  0.7409
S  0.7367  0.0000  0.2482

uncorrected formation energy: -16.1 eV/f.u.
DOS at the Fermi energy: 8.0 states/eV/cell

***

Compound: MnC3
Source: Alexandria via LeMat-Bulk
Functional: PBE-GGA
Structure: relaxed

a b c (Å): 3.5314 3.5314 5.3326
angles (deg): 90.00 90.00 140.41
Element x y z (fractional)
Mn  0.0000  0.0000  0.0000
C  0.0000  0.0000  0.5000
C  0.5000  0.5000  0.3153
C  0.5000  0.5000  0.6847

excess energy over the best structure of this formula in the dataset: 1.111 eV/atom
ΔE_f: 42.0 kcal/mol of atoms
DOS at the Fermi energy: 2.3 states/eV/cell

***

Compound: TaIn3O7
Source: Alexandria via LeMat-Bulk
Functional: PBE-GGA
Structure: relaxed

a b c (Å): 6.4362 6.4362 7.3131
angles (deg): 90.00 90.00 108.40
Element x y z (fractional)
Ta  0.0107  0.0107  0.0000
Ta  0.9893  0.9893  0.5000
In  0.0013  0.4806  0.2425
In  0.4515  0.4515  0.5000
In  0.4806  0.0013  0.7575
In  0.5194  0.9987  0.2575
In  0.5485  0.5485  0.0000
In  0.9987  0.5194  0.7425
O  0.0448  0.3162  0.9652
O  0.0545  0.9455  0.7500
O  0.0802  0.3309  0.5179
O  0.3162  0.0448  0.0348
O  0.3309  0.0802  0.4821
O  0.3559  0.6441  0.7500
O  0.3731  0.6269  0.2500
O  0.6269  0.3731  0.7500
O  0.6441  0.3559  0.2500
O  0.6691  0.9198  0.9821
O  0.6838  0.9552  0.5348
O  0.9198  0.6691  0.0179
O  0.9455  0.0545  0.2500
O  0.9552  0.6838  0.4652

uncorrected formation energy: -20.8 eV/f.u.
excess energy over the best structure of this formula in the dataset: 0.010 eV/atom